TiZn2Au8: optimized geometry, PBE.

abc: 8.489 11.300 4.096
angles: 90.00 91.29 90.00
Space group C2/m (No. 12)
Unique sites:
1 Ti 0.000 0.000 0.000 (multiplicity 2)
2 Zn 0.000 0.384 0.500 (multiplicity 4)
3 Au 0.000 0.248 0.000 (multiplicity 4)
4 Au 0.168 0.500 0.995 (multiplicity 4)
5 Au 0.172 0.131 0.504 (multiplicity 8)

Mass density = 14.83 g/cm³
Total moment = 0.984 μB per cell
Energy of formation from the pure elements = -134 meV per atom

=====

Ti5Zn4Au4: optimized geometry, PBE.

abc: 10.579 10.579 3.823
angles: 90.00 90.00 90.00
Space group I4/m (No. 87)
Unique sites:
1 Ti 0.000 0.000 0.000 (multiplicity 2)
2 Ti 0.046 0.807 0.500 (multiplicity 8)
3 Zn 0.075 0.608 0.000 (multiplicity 8)
4 Au 0.143 0.238 0.000 (multiplicity 8)

Mass density = 10.00 g/cm³
Total moment = 6.192 μB per cell
Energy of formation from the pure elements = -223 meV per atom